(1)
A plane-wave DFT calculation with GGA-PBE was carried out for a relaxed structure of PaAlReSi.

Fermi-level density of states   3.83 states/eV/cell
Raw formation energy   -0.025 eV per atom
Symmetry   Cm (8)

Unit cell a=4.419 b=4.419 c=4.314 alpha=91.06 beta=91.06 gamma=72.11
Element x y z (fractional)
Pa: 0.000 0.000 0.000
Al: 0.645 0.645 0.475
Re: 0.266 0.266 0.432
Si: 0.403 0.403 0.938

(2)
A plane-wave DFT calculation with GGA-PBE was carried out for a relaxed structure of ReSi2Sb.

Fermi-level density of states   2.35 states/eV/cell
Raw formation energy   0.593 eV per atom
Symmetry   Cmm2 (35)

Unit cell a=2.974 b=2.974 c=9.080 alpha=90.00 beta=90.00 gamma=116.12
Element x y z (fractional)
Re: 0.000 0.000 0.000
Si: 0.000 0.000 0.414
Si: 0.500 0.500 0.201
Sb: 0.500 0.500 0.737

(3)
A plane-wave DFT calculation with GGA-PBE was carried out for a relaxed structure of SbH3Cl.

Fermi-level density of states   0.76 states/eV/cell
Energy above the most stable polymorph in this dataset   0 kJ/mol of formula units
Symmetry   Pm-3m (221)

Unit cell a=3.921 b=3.921 c=3.921 alpha=90.00 beta=90.00 gamma=90.00
Element x y z (fractional)
Sb: 0.000 0.000 0.000
H: 0.000 0.000 0.500
H: 0.000 0.500 0.000
H: 0.500 0.000 0.000
Cl: 0.500 0.500 0.500

(4)
A plane-wave DFT calculation with GGA-PBE was carried out for a relaxed structure of ThAg6Au2.

Fermi-level density of states   4.14 states/eV/cell
Energy of formation   0.055 eV/atom
Symmetry   C2/m (12)

Unit cell a=8.346 b=8.346 c=3.148 alpha=100.75 beta=100.75 gamma=58.72
Element x y z (fractional)
Th: 0.000 0.000 0.000
Ag: 0.002 0.647 0.324
Ag: 0.334 0.666 0.500
Ag: 0.353 0.998 0.676
Ag: 0.647 0.002 0.324
Ag: 0.666 0.334 0.500
Ag: 0.998 0.353 0.676
Au: 0.350 0.350 0.851
Au: 0.650 0.650 0.149

(5)
A plane-wave DFT calculation with GGA-PBE was carried out for a relaxed structure of EuEr2Ag.

Fermi-level density of states   4.36 states/eV/cell
Energy above the most stable polymorph in this dataset   0 kJ/mol of formula units
Energy of formation   -0.080 eV/atom
Symmetry   P4/mmm (123)

Unit cell a=3.630 b=3.630 c=8.942 alpha=90.00 beta=90.00 gamma=90.00
Element x y z (fractional)
Eu: 0.000 0.000 0.000
Er: 0.500 0.500 0.304
Er: 0.500 0.500 0.696
Ag: 0.000 0.000 0.500

(6)
A plane-wave DFT calculation with GGA-PBE was carried out for a relaxed structure of Tb3BiH.

Total DFT energy (no corrections)   -23.337 eV per cell
Fermi-level density of states   5.45 states/eV/cell
Symmetry   Pm-3m (221)

Unit cell a=4.865 b=4.865 c=4.865 alpha=90.00 beta=90.00 gamma=90.00
Element x y z (fractional)
Tb: 0.000 0.000 0.500
Tb: 0.000 0.500 0.000
Tb: 0.500 0.000 0.000
Bi: 0.500 0.500 0.500
H: 0.000 0.000 0.000

(7)
A plane-wave DFT calculation with GGA-PBE was carried out for a relaxed structure of Ta2Co.

Fermi-level density of states   12.00 states/eV/cell
Energy of formation   0.212 eV/atom
Symmetry   P6_3/mcm (193)

Unit cell a=5.059 b=5.059 c=8.615 alpha=90.00 beta=90.00 gamma=120.00
Element x y z (fractional)
Ta: 0.000 0.000 0.000
Ta: 0.000 0.000 0.500
Ta: 0.000 0.355 0.250
Ta: 0.000 0.645 0.750
Ta: 0.355 0.000 0.250
Ta: 0.355 0.355 0.750
Ta: 0.645 0.000 0.750
Ta: 0.645 0.645 0.250
Co: 0.333 0.667 0.000
Co: 0.333 0.667 0.500
Co: 0.667 0.333 0.000
Co: 0.667 0.333 0.500

(8)
A plane-wave DFT calculation with GGA-PBE was carried out for a relaxed structure of Er12CdCu6.

Fermi-level density of states   11.23 states/eV/cell
Energy of formation   -0.193 eV/atom
Symmetry   Im-3 (204)

Unit cell a=8.437 b=8.437 c=8.437 alpha=109.47 beta=109.47 gamma=109.47
Element x y z (fractional)
Er: 0.106 0.811 0.295
Er: 0.189 0.295 0.484
Er: 0.189 0.705 0.894
Er: 0.295 0.106 0.811
Er: 0.295 0.484 0.189
Er: 0.484 0.189 0.295
Er: 0.516 0.811 0.705
Er: 0.705 0.516 0.811
Er: 0.705 0.894 0.189
Er: 0.811 0.295 0.106
Er: 0.811 0.705 0.516
Er: 0.894 0.189 0.705
Cd: 0.000 0.000 0.000
Cu: 0.125 0.625 0.500
Cu: 0.375 0.500 0.875
Cu: 0.500 0.125 0.625
Cu: 0.500 0.875 0.375
Cu: 0.625 0.500 0.125
Cu: 0.875 0.375 0.500

(9)
A plane-wave DFT calculation with GGA-PBE was carried out for a relaxed structure of Ac2La3Pm2.

Fermi-level density of states   12.63 states/eV/cell
Energy above the most stable polymorph in this dataset   0 kJ/mol of formula units
Energy of formation   0.125 eV/atom
Symmetry   C2/m (12)

Unit cell a=9.462 b=9.462 c=9.006 alpha=118.37 beta=118.37 gamma=22.61
Element x y z (fractional)
Ac: 0.066 0.066 0.228
Ac: 0.934 0.934 0.772
La: 0.285 0.285 0.363
La: 0.500 0.500 0.500
La: 0.715 0.715 0.637
Pm: 0.349 0.349 0.040
Pm: 0.651 0.651 0.960

(10)
A plane-wave DFT calculation with GGA-PBE was carried out for a relaxed structure of CrPSe2Br.

Fermi-level density of states   8.18 states/eV/cell
Energy above the most stable polymorph in this dataset   53 kJ/mol of formula units
Raw formation energy   0.643 eV per atom
Symmetry   P4/mmm (123)

Unit cell a=4.670 b=4.670 c=4.933 alpha=90.00 beta=90.00 gamma=90.00
Element x y z (fractional)
Cr: 0.000 0.000 0.000
P: 0.500 0.500 0.500
Se: 0.000 0.500 0.000
Se: 0.500 0.000 0.000
Br: 0.000 0.000 0.500

(11)
A plane-wave DFT calculation with GGA-PBE was carried out for a relaxed structure of Ce2Th2N3.

Fermi-level density of states   34.20 states/eV/cell
Raw formation energy   -0.999 eV per atom
Symmetry   C2/c (15)

Unit cell a=10.148 b=10.148 c=6.291 alpha=104.77 beta=104.77 gamma=69.33
Element x y z (fractional)
Ce: 0.074 0.591 0.784
Ce: 0.238 0.392 0.258
Ce: 0.392 0.238 0.758
Ce: 0.409 0.926 0.716
Ce: 0.591 0.074 0.284
Ce: 0.608 0.762 0.242
Ce: 0.762 0.608 0.742
Ce: 0.926 0.409 0.216
Th: 0.014 0.179 0.628
Th: 0.179 0.014 0.128
Th: 0.294 0.706 0.250
Th: 0.418 0.582 0.750
Th: 0.582 0.418 0.250
Th: 0.706 0.294 0.750
Th: 0.821 0.986 0.872
Th: 0.986 0.821 0.372
N: 0.044 0.832 0.021
N: 0.168 0.956 0.479
N: 0.177 0.623 0.512
N: 0.321 0.473 0.983
N: 0.377 0.823 0.988
N: 0.473 0.321 0.483
N: 0.527 0.679 0.517
N: 0.623 0.177 0.012
N: 0.679 0.527 0.017
N: 0.823 0.377 0.488
N: 0.832 0.044 0.521
N: 0.956 0.168 0.979

(12)
A plane-wave DFT calculation with GGA-PBE was carried out for a relaxed structure of SbMo3C.

Fermi-level density of states   9.04 states/eV/cell
Energy above the most stable polymorph in this dataset   1541 kJ/mol of formula units
Raw formation energy   3.400 eV per atom
Symmetry   Pm-3m (221)

Unit cell a=4.904 b=4.904 c=4.904 alpha=90.00 beta=90.00 gamma=90.00
Element x y z (fractional)
Sb: 0.000 0.000 0.000
Mo: 0.000 0.000 0.500
Mo: 0.000 0.500 0.000
Mo: 0.500 0.000 0.000
C: 0.500 0.500 0.500

(13)
A plane-wave DFT calculation with GGA-PBE was carried out for a relaxed structure of MgZr2Cd.

Fermi-level density of states   4.97 states/eV/cell
Energy of formation   -0.041 eV/atom
Symmetry   P4/mmm (123)

Unit cell a=4.390 b=4.390 c=4.506 alpha=90.00 beta=90.00 gamma=90.00
Element x y z (fractional)
Mg: 0.000 0.000 0.000
Zr: 0.000 0.500 0.500
Zr: 0.500 0.000 0.500
Cd: 0.500 0.500 0.000

(14)
A plane-wave DFT calculation with GGA-PBE was carried out for a relaxed structure of Na5Tl2Pb4.

Fermi-level density of states   4.05 states/eV/cell
Energy above the most stable polymorph in this dataset   39 kJ/mol of formula units
Energy of formation   -0.051 eV/atom
Symmetry   C2/m (12)

Unit cell a=6.600 b=6.600 c=9.810 alpha=113.44 beta=113.44 gamma=59.57
Element x y z (fractional)
Na: 0.000 0.000 0.000
Na: 0.246 0.729 0.690
Na: 0.271 0.754 0.310
Na: 0.729 0.246 0.690
Na: 0.754 0.271 0.310
Tl: 0.202 0.202 0.615
Tl: 0.798 0.798 0.385
Pb: 0.267 0.267 0.318
Pb: 0.299 0.299 0.982
Pb: 0.701 0.701 0.018
Pb: 0.733 0.733 0.682

(15)
A plane-wave DFT calculation with GGA-PBE was carried out for a relaxed structure of KTaCd2.

Fermi-level density of states   2.76 states/eV/cell
Energy above the most stable polymorph in this dataset   0 kJ/mol of formula units
Energy of formation   0.395 eV/atom
Symmetry   P4/mmm (123)

Unit cell a=3.065 b=3.065 c=10.216 alpha=90.00 beta=90.00 gamma=90.00
Element x y z (fractional)
K: 0.000 0.000 0.000
Ta: 0.000 0.000 0.500
Cd: 0.500 0.500 0.292
Cd: 0.500 0.500 0.708

(16)
A plane-wave DFT calculation with GGA-PBE was carried out for a relaxed structure of Pm4TeC.

Fermi-level density of states   12.87 states/eV/cell
Energy above the most stable polymorph in this dataset   0 kJ/mol of formula units
Raw formation energy   -0.483 eV per atom
Symmetry   C2/c (15)

Unit cell a=8.418 b=8.418 c=6.532 alpha=106.01 beta=106.01 gamma=118.19
Element x y z (fractional)
Pm: 0.063 0.659 0.844
Pm: 0.161 0.261 0.701
Pm: 0.261 0.161 0.201
Pm: 0.341 0.937 0.656
Pm: 0.659 0.063 0.344
Pm: 0.739 0.839 0.799
Pm: 0.839 0.739 0.299
Pm: 0.937 0.341 0.156
Te: 0.389 0.611 0.250
Te: 0.611 0.389 0.750
C: 0.068 0.932 0.750
C: 0.932 0.068 0.250

(17)
A plane-wave DFT calculation with GGA-PBE was carried out for a relaxed structure of PrYI4.

Fermi-level density of states   3.51 states/eV/cell
Energy above the most stable polymorph in this dataset   0 kJ/mol of formula units
Raw formation energy   -1.265 eV per atom
Symmetry   P2/m (10)

Unit cell a=7.328 b=4.200 c=8.503 alpha=90.00 beta=106.17 gamma=90.00
Element x y z (fractional)
Pr: 0.000 0.000 0.000
Y: 0.500 0.500 0.000
I: 0.260 0.500 0.250
I: 0.265 0.000 0.758
I: 0.735 0.000 0.242
I: 0.740 0.500 0.750

(18)
A plane-wave DFT calculation with GGA-PBE was carried out for a relaxed structure of SmEr2In.

Fermi-level density of states   5.37 states/eV/cell
Energy above the most stable polymorph in this dataset   48 kJ/mol of formula units
Energy of formation   -0.136 eV/atom
Symmetry   R3m (160)

Unit cell a=11.101 b=11.101 c=11.101 alpha=18.51 beta=18.51 gamma=18.51
Element x y z (fractional)
Sm: 0.000 0.000 0.000
Er: 0.578 0.578 0.578
Er: 0.756 0.756 0.756
In: 0.167 0.167 0.167

(19)
A plane-wave DFT calculation with GGA-PBE was carried out for a relaxed structure of VCrSb2Te.

Fermi-level density of states   5.52 states/eV/cell
Energy above the most stable polymorph in this dataset   168 kJ/mol of formula units
Raw formation energy   0.963 eV per atom
Symmetry   P4/mmm (123)

Unit cell a=4.994 b=4.994 c=5.314 alpha=90.00 beta=90.00 gamma=90.00
Element x y z (fractional)
V: 0.000 0.000 0.000
Cr: 0.500 0.500 0.500
Sb: 0.000 0.500 0.500
Sb: 0.500 0.000 0.500
Te: 0.500 0.500 0.000

(20)
A plane-wave DFT calculation with GGA-PBE was carried out for a relaxed structure of GaTe3N.

Fermi-level density of states   5.92 states/eV/cell
Energy above the most stable polymorph in this dataset   362 kJ/mol of formula units
Raw formation energy   1.372 eV per atom
Symmetry   Pm-3m (221)

Unit cell a=5.416 b=5.416 c=5.416 alpha=90.00 beta=90.00 gamma=90.00
Element x y z (fractional)
Ga: 0.000 0.000 0.000
Te: 0.000 0.000 0.500
Te: 0.000 0.500 0.000
Te: 0.500 0.000 0.000
N: 0.500 0.500 0.500

For reference, total moment by record: 0.00; 0.00; 0.00; 0.00; 8.17; 0.00; 0.00; 0.00; 0.00; 0.00; 6.20; 1.15; 0.01; 0.00; 0.00; 0.00; 0.00; 0.00; 2.11; 1.95 μB/cell.